# DyZn10Ga2

A relaxed DyZn10Ga2 crystal (PBE, Alexandria).

CIF file:
```
data_DyZn10Ga2
_chemical_formula_sum 'Dy4 Zn40 Ga8'
_symmetry_space_group_name_H-M 'C m c m'
_symmetry_Int_Tables_number 63
_symmetry_space_group_name_Hall '-C 2c 2'
_cell_length_a 8.849
_cell_length_b 10.527
_cell_length_c 9.072
_cell_angle_alpha 90.00
_cell_angle_beta 90.00
_cell_angle_gamma 90.00
loop_
_atom_site_label
_atom_site_fract_x
_atom_site_fract_y
_atom_site_fract_z
Dy1 0.000 0.133 0.250
Zn1 0.000 0.151 0.605
Zn2 0.000 0.397 0.079
Zn3 0.143 0.377 0.750
Zn4 0.220 0.000 0.000
Zn5 0.241 0.382 0.250
Ga1 0.250 0.250 0.000
```

Calculated values
Its spin magnetization is 0.00 μB per formula unit. Its calculated formation energy is -0.128 eV/atom.